Here is a relaxed structure of LiCoS2 from Alexandria. Energies are from PBE.

As for the energy relative to the elements, uncorrected: -0.686 eV per atom. As for the crystal system: monoclinic. The total energy is -5.00 eV/atom. The volume is 60 Å³/f.u. As for the excess energy over the best structure of this formula in the dataset: 58 meV per atom. The value obtained for the magnetic moment is 0.00 μB/f.u.

The space group is P2_1/m (No. 11) and the conventional cell measures 3.373, 4.365 and 8.084 Å, with angles of 90.00, 90.07 and 90.00 degrees. Symmetry generates all atoms from Li at (0.244, 0.250, 0.370), Co at (0.250, 0.750, 0.130), S at (0.249, 0.250, 0.677) and S at (0.250, 0.250, 0.051).